Entry from the Alexandria database: crystalline NiBrClO2 at its relaxed geometry (PBE+U).

Unit cell a=3.699 b=7.085 c=3.699 alpha=90.00 beta=90.00 gamma=90.00
Sites, in units of the cell vectors:
O 0.000 0.000 0.500
O 0.500 0.000 0.000
Ni 0.000 0.000 0.000
Br 0.500 0.500 0.500
Cl 0.000 0.500 0.000

Computed properties:
ρ = 3.53 Mg/m³
Electronic total energy = -14.633 eV for the cell shown
DOS at the Fermi energy = 2.83 states/eV/cell
Total moment = 0.641 μB per atom
Volume = 19.39 A^3/atom